No. 1
A geometry-optimized FeTcPdS2 structure. Source: Alexandria via LeMat-Bulk, functional PBEsol.

Values from the calculation:
Raw formation energy   0.86 eV per atom

Cell lengths 4.213, 4.213, 4.400 Å; angles 90.00, 90.00, 90.00 degrees
Fractional coordinates of all 5 atoms:
1 Fe 0.000 0.000 0.000
2 Tc 0.000 0.000 0.500
3 S 0.000 0.500 0.000
4 S 0.500 0.000 0.000
5 Pd 0.500 0.500 0.500

No. 2
A geometry-optimized AlPbW2S structure. Source: Alexandria via LeMat-Bulk, functional PBEsol.

Values from the calculation:
Raw formation energy   1.20 eV per atom

Cell lengths 4.423, 4.423, 5.301 Å; angles 90.00, 90.00, 90.00 degrees
Fractional coordinates of all 5 atoms:
1 Al 0.500 0.500 0.500
2 S 0.000 0.000 0.000
3 W 0.500 0.000 0.000
4 W 0.000 0.500 0.000
5 Pb 0.000 0.000 0.500

No. 3
A geometry-optimized Ta5Sb structure. Source: Alexandria via LeMat-Bulk, functional PBEsol.

Values from the calculation:
Energy above the most stable polymorph in this dataset   0.30 eV per formula unit
Raw formation energy   0.00 eV per atom

Cell lengths 3.426, 5.329, 6.660 Å; angles 107.90, 90.00, 108.75 degrees
Fractional coordinates of all 6 atoms:
1 Ta 0.665 0.329 0.338
2 Ta 0.326 0.652 0.176
3 Ta 0.335 0.671 0.662
4 Ta 0.674 0.348 0.824
5 Ta 0.000 0.000 0.500
6 Sb 0.000 0.000 0.000

No. 4
A geometry-optimized TaTeRu2 structure. Source: Alexandria via LeMat-Bulk, functional PBEsol.

Values from the calculation:
Raw formation energy   0.15 eV per atom

Cell lengths 3.637, 4.202, 4.202 Å; angles 90.00, 90.00, 90.00 degrees
Fractional coordinates of all 4 atoms:
1 Ru 0.000 0.500 0.000
2 Ru 0.000 0.000 0.500
3 Te 0.500 0.000 0.000
4 Ta 0.500 0.500 0.500

No. 5
A geometry-optimized Be2NiIr structure. Source: Alexandria via LeMat-Bulk, functional PBEsol.

Values from the calculation:
Energy of formation   -0.58 eV/atom
Energy above the most stable polymorph in this dataset   0.00 eV per formula unit

Cell lengths 3.803, 3.803, 3.803 Å; angles 60.00, 60.00, 60.00 degrees
Fractional coordinates of all 4 atoms:
1 Be 0.750 0.750 0.750
2 Be 0.250 0.250 0.250
3 Ir 0.000 0.000 0.000
4 Ni 0.500 0.500 0.500

No. 6
A geometry-optimized TaRe3 structure. Source: Alexandria via LeMat-Bulk, functional PBEsol.

Values from the calculation:
Energy of formation   0.04 eV/atom

Cell lengths 2.769, 2.769, 8.046 Å; angles 90.00, 90.00, 90.00 degrees
Fractional coordinates of all 4 atoms:
1 Re 0.000 0.000 0.769
2 Re 0.500 0.500 0.000
3 Re 0.000 0.000 0.231
4 Ta 0.500 0.500 0.500

No. 7
A geometry-optimized Fe2CoHg structure. Source: Alexandria via LeMat-Bulk, functional PBEsol.

Values from the calculation:
Energy of formation   0.30 eV/atom

Cell lengths 3.713, 3.713, 4.607 Å; angles 113.76, 113.76, 90.00 degrees
Fractional coordinates of all 4 atoms:
1 Fe 0.250 0.750 0.500
2 Fe 0.750 0.250 0.500
3 Co 0.000 0.000 0.000
4 Hg 0.500 0.500 0.000

No. 8
A geometry-optimized KTl2In structure. Source: Alexandria via LeMat-Bulk, functional PBEsol.

Values from the calculation:
Energy of formation   -0.06 eV/atom

Cell lengths 3.880, 3.880, 8.132 Å; angles 90.00, 90.00, 90.00 degrees
Fractional coordinates of all 4 atoms:
1 K 0.500 0.500 0.749
2 Tl 0.000 0.000 0.041
3 Tl 0.500 0.500 0.257
4 In 0.000 0.000 0.453

No. 9
A geometry-optimized NaI2BrN structure. Source: Alexandria via LeMat-Bulk, functional PBEsol.

Values from the calculation:
Raw formation energy   0.55 eV per atom

Cell lengths 3.697, 6.434, 6.434 Å; angles 90.00, 90.00, 90.00 degrees
Fractional coordinates of all 5 atoms:
1 I 0.000 0.500 0.000
2 I 0.000 0.000 0.500
3 Br 0.000 0.000 0.000
4 Na 0.500 0.500 0.500
5 N 0.500 0.000 0.000

No. 10
A geometry-optimized Sr3P4Rh13 structure. Source: Alexandria via LeMat-Bulk, functional PBEsol.

Values from the calculation:
Energy of formation   -0.49 eV/atom

Cell lengths 8.690, 8.690, 8.690 Å; angles 90.00, 90.00, 90.00 degrees
Fractional coordinates of all 40 atoms:
1 Rh 0.000 0.263 0.156
2 Rh 0.844 0.000 0.263
3 Rh 0.237 0.500 0.656
4 Rh 0.000 0.737 0.844
5 Rh 0.737 0.156 0.000
6 Rh 0.000 0.263 0.844
7 Rh 0.263 0.156 0.000
8 Rh 0.656 0.237 0.500
9 Rh 0.763 0.500 0.656
10 Rh 0.156 0.000 0.737
11 Rh 0.500 0.656 0.237
12 Rh 0.737 0.844 0.000
13 Rh 0.763 0.500 0.344
14 Rh 0.263 0.844 0.000
15 Rh 0.656 0.763 0.500
16 Rh 0.237 0.500 0.344
17 Rh 0.500 0.500 0.500
18 Rh 0.500 0.656 0.763
19 Rh 0.344 0.237 0.500
20 Rh 0.000 0.737 0.156
21 Rh 0.500 0.344 0.237
22 Rh 0.344 0.763 0.500
23 Rh 0.500 0.344 0.763
24 Rh 0.844 0.000 0.737
25 Rh 0.000 0.000 0.000
26 Rh 0.156 0.000 0.263
27 Sr 0.500 0.000 0.750
28 Sr 0.750 0.500 0.000
29 Sr 0.500 0.000 0.250
30 Sr 0.000 0.750 0.500
31 Sr 0.000 0.250 0.500
32 Sr 0.250 0.500 0.000
33 P 0.750 0.250 0.250
34 P 0.750 0.750 0.750
35 P 0.750 0.750 0.250
36 P 0.250 0.750 0.250
37 P 0.250 0.250 0.250
38 P 0.250 0.750 0.750
39 P 0.250 0.250 0.750
40 P 0.750 0.250 0.750

No. 11
A geometry-optimized NaWO2 structure. Source: Alexandria via LeMat-Bulk, functional PBEsol.

Values from the calculation:
Raw formation energy   -0.53 eV per atom

Cell lengths 3.771, 3.771, 3.771 Å; angles 60.00, 60.00, 60.00 degrees
Fractional coordinates of all 4 atoms:
1 W 0.500 0.500 0.500
2 O 0.250 0.250 0.250
3 O 0.750 0.750 0.750
4 Na 0.000 0.000 0.000

No. 12
A geometry-optimized CoTeI2Br structure. Source: Alexandria via LeMat-Bulk, functional PBEsol.

Values from the calculation:
Raw formation energy   1.28 eV per atom

Cell lengths 5.460, 5.767, 5.767 Å; angles 90.00, 90.00, 90.00 degrees
Fractional coordinates of all 5 atoms:
1 I 0.000 0.000 0.500
2 I 0.000 0.500 0.000
3 Co 0.500 0.500 0.500
4 Te 0.500 0.000 0.000
5 Br 0.000 0.000 0.000